A:
Here is a relaxed structure of ScBi2Os from Alexandria via LeMat-Bulk. Energies are from PBE.

Unit cell a=7.049 b=7.049 c=7.049 alpha=90.00 beta=90.00 gamma=90.00
Space group Fm-3m (No. 225)
Asymmetric unit:
Sc  0.000  0.000  0.000 [4 per cell]
Bi  0.250  0.250  0.250 [8 per cell]
Os  0.000  0.000  0.500 [4 per cell]

Computed properties:
Spin magnetization: 0.0 Bohr magnetons per cell
V: 21.9 Å³/atom

=====

B:
Here is a relaxed structure of ScBi2Os from Alexandria via LeMat-Bulk. Energies are from PBE.

Unit cell a=4.445 b=4.445 c=19.846 alpha=90.00 beta=90.00 gamma=90.00
Space group I-42d (No. 122)
Asymmetric unit:
Sc  0.000  0.000  0.000 [4 per cell]
Bi  0.237  0.250  0.625 [8 per cell]
Os  0.000  0.000  0.500 [4 per cell]

Computed properties:
Spin magnetization: 0.0 Bohr magnetons per cell
V: 24.5 Å³/atom

=====

Compare the structures above. Which one is the least stable? B is.